(1)
VASP calculation (PBE-GGA) on a relaxed structure of ThCuSe4.

Cell lengths 5.5011, 9.3223, 7.0273 Å; angles 90.00, 110.87, 90.00 degrees
With the nearest neighbours (Å) after each atom.
Atoms (fractional coordinates):
Th  0.1277  0.2500  0.2229  7 Se 2.83-3.04
Th  0.8723  0.7500  0.7771  7 Se 2.83-3.04
Cu  0.1579  0.7500  0.3183  4 Se 2.35-2.57
Cu  0.8421  0.2500  0.6817  4 Se 2.35-2.57
Se  0.2189  0.5535  0.1055  1 Cu 2.46, 1 Se 2.54
Se  0.2189  0.9465  0.1055  1 Cu 2.46, 1 Se 2.54
Se  0.3019  0.2500  0.6646  1 Cu 2.57
Se  0.3259  0.7500  0.6764  1 Cu 2.35
Se  0.6741  0.2500  0.3236  1 Cu 2.35
Se  0.6981  0.7500  0.3354  1 Cu 2.57
Se  0.7811  0.0535  0.8945  1 Cu 2.46, 1 Se 2.54
Se  0.7811  0.4465  0.8945  1 Cu 2.46, 1 Se 2.54

- Formation energy from raw total energies: -70.9 kJ/mol of atoms
- Calculated total energy: -59.728 eV for the cell shown

***

(2)
VASP calculation (PBE-GGA) on a relaxed structure of Th2Cu2Se.

Cell lengths 7.7562, 7.7562, 7.7562 Å; angles 31.69, 31.69, 31.69 degrees
With the nearest neighbours (Å) after each atom.
Atoms (fractional coordinates):
Th  0.0850  0.0850  0.0850  3 Se 3.04, 6 Cu 3.08-3.09
Th  0.9150  0.9150  0.9150  3 Se 3.04, 6 Cu 3.08-3.09
Cu  0.3329  0.3329  0.3329  3 Cu 2.45
Cu  0.6671  0.6671  0.6671  3 Cu 2.45
Se  0.5000  0.5000  0.5000  6 Th 3.04

- Formation energy from raw total energies: -69.5 kJ/mol of atoms
- Calculated total energy: -30.117 eV for the cell shown

***

(3)
VASP calculation (PBE-GGA) on a relaxed structure of Th2CuSe.

Cell lengths 8.1175, 8.1175, 8.1175 Å; angles 28.25, 28.25, 28.25 degrees
With the nearest neighbours (Å) after each atom.
Atoms (fractional coordinates):
Th  0.0000  0.0000  0.0000  3 Cu 2.92, 3 Se 3.08
Th  0.1768  0.1768  0.1768  3 Cu 2.94, 3 Se 3.08
Cu  0.5890  0.5890  0.5890  6 Th 2.92-2.94
Se  0.4217  0.4217  0.4217  6 Th 3.08

- Energy relative to the lowest polymorph listed for this composition: 144 meV/atom
- Formation energy from raw total energies: -63.5 kJ/mol of atoms
- Calculated total energy: -25.055 eV for the cell shown

***

(4)
VASP calculation (PBE-GGA) on a relaxed structure of Th6CuSe12.

Cell lengths 8.3685, 8.3685, 8.3685 Å; angles 100.41, 100.41, 100.41 degrees
With the nearest neighbours (Å) after each atom.
Atoms (fractional coordinates):
Th  0.1289  0.2899  0.6246  7 Se 2.89-3.12
Th  0.2899  0.6246  0.1289  7 Se 2.89-3.12
Th  0.3754  0.8711  0.7101  7 Se 2.89-3.12
Th  0.6246  0.1289  0.2899  7 Se 2.89-3.12
Th  0.7101  0.3754  0.8711  7 Se 2.89-3.12
Th  0.8711  0.7101  0.3754  7 Se 2.89-3.12
Cu  0.0000  0.0000  0.0000  6 Se 2.66
Se  0.0458  0.9371  0.6905  1 Cu 2.66, 2 Th 2.89-2.91
Se  0.0629  0.3095  0.9542  1 Cu 2.66, 2 Th 2.89-2.91
Se  0.1769  0.5744  0.4318  4 Th 2.93-3.12
Se  0.3095  0.9542  0.0629  1 Cu 2.66, 2 Th 2.89-2.91
Se  0.4256  0.5682  0.8231  4 Th 2.93-3.12
Se  0.4318  0.1769  0.5744  4 Th 2.93-3.12
Se  0.5682  0.8231  0.4256  4 Th 2.93-3.12
Se  0.5744  0.4318  0.1769  4 Th 2.93-3.12
Se  0.6906  0.0458  0.9371  1 Cu 2.66, 2 Th 2.89-2.91
Se  0.8231  0.4256  0.5682  4 Th 2.93-3.12
Se  0.9371  0.6905  0.0458  1 Cu 2.66, 2 Th 2.89-2.91
Se  0.9542  0.0629  0.3095  1 Cu 2.66, 2 Th 2.89-2.91

- Formation energy from raw total energies: -147.9 kJ/mol of atoms
- Calculated total energy: -119.550 eV for the cell shown

***

(5)
VASP calculation (PBE-GGA) on a relaxed structure of ThCuSe.

Cell lengths 6.9548, 6.9548, 5.3944 Å; angles 90.00, 90.00, 148.21 degrees
With the nearest neighbours (Å) after each atom.
Atoms (fractional coordinates):
Th  0.1209  0.8791  0.7500  4 Se 2.88-3.10, 2 Cu 2.93
Th  0.8791  0.1209  0.2500  4 Se 2.88-3.10, 2 Cu 2.93
Cu  0.4541  0.5459  0.7500  2 Se 2.77, 2 Th 2.93, 2 Cu 2.96
Cu  0.5459  0.4541  0.2500  2 Se 2.77, 2 Th 2.93, 2 Cu 2.96
Se  0.1966  0.8034  0.2500  2 Cu 2.77, 4 Th 2.88-3.10
Se  0.8034  0.1966  0.7500  2 Cu 2.77, 4 Th 2.88-3.10

- Formation energy from raw total energies: -68.6 kJ/mol of atoms
- Calculated total energy: -34.266 eV for the cell shown

***

(6)
VASP calculation (PBE-GGA) on a relaxed structure of Th2CuSe.

Cell lengths 7.3900, 7.3900, 7.3900 Å; angles 32.85, 32.85, 32.85 degrees
With the nearest neighbours (Å) after each atom.
Atoms (fractional coordinates):
Th  0.2460  0.2460  0.2460  3 Cu 2.93, 3 Se 3.03
Th  0.7540  0.7540  0.7540  3 Cu 2.93, 3 Se 3.03
Cu  0.5000  0.5000  0.5000  6 Th 2.93
Se  0.0000  0.0000  0.0000  6 Th 3.03

- Energy relative to the lowest polymorph listed for this composition: 67 meV/atom
- Formation energy from raw total energies: -71.0 kJ/mol of atoms
- Calculated total energy: -25.363 eV for the cell shown

***

(7)
VASP calculation (PBE-GGA) on a relaxed structure of ThTlCu2Se4.

Cell lengths 6.3096, 6.3096, 6.3096 Å; angles 113.65, 109.32, 105.54 degrees
With the nearest neighbours (Å) after each atom.
Atoms (fractional coordinates):
Th  0.0000  0.0000  0.0000  4 Se 2.90
Tl  0.5000  0.5000  0.0000  8 Se 3.05-3.30
Cu  0.1702  0.6702  0.5000  2 Se 2.36, 1 Cu 2.60
Cu  0.8298  0.3298  0.5000  2 Se 2.36, 1 Cu 2.60
Se  0.0186  0.0521  0.4842  1 Cu 2.36
Se  0.4321  0.9479  0.9665  1 Cu 2.36
Se  0.5679  0.5344  0.5158  1 Cu 2.36
Se  0.9814  0.4656  0.0335  1 Cu 2.36

- Formation energy from raw total energies: -59.0 kJ/mol of atoms
- Calculated total energy: -36.805 eV for the cell shown

***

(8)
VASP calculation (PBE-GGA) on a relaxed structure of ThTl2Cu2Se4.

Cell lengths 7.8091, 7.8091, 8.0721 Å; angles 108.56, 108.56, 30.98 degrees
With the nearest neighbours (Å) after each atom.
Atoms (fractional coordinates):
Th  0.0000  0.0000  0.0000  6 Se 2.92-2.93
Tl  0.1411  0.1411  0.5805  4 Se 3.26-3.37, 1 Cu 3.59
Tl  0.8589  0.8589  0.4195  4 Se 3.26-3.37, 1 Cu 3.59
Cu  0.3173  0.3173  0.0079  4 Se 2.49-2.54
Cu  0.6827  0.6827  0.9921  4 Se 2.49-2.54
Se  0.2029  0.2029  0.1795  3 Cu 2.53-2.54
Se  0.4758  0.4758  0.2358  1 Cu 2.49
Se  0.5242  0.5242  0.7642  1 Cu 2.49
Se  0.7971  0.7971  0.8205  3 Cu 2.53-2.54

- Formation energy from raw total energies: -77.8 kJ/mol of atoms
- Calculated total energy: -41.541 eV for the cell shown

***

(9)
VASP calculation (PBE-GGA) on a relaxed structure of ThTl2CuSe4.

Cell lengths 7.2287, 4.0402, 8.4295 Å; angles 90.00, 110.27, 90.00 degrees
With the nearest neighbours (Å) after each atom.
Atoms (fractional coordinates):
Th  0.0000  0.0000  0.0000  6 Se 2.86-3.02
Tl  0.0000  0.5000  0.5000  6 Se 3.21-3.53
Tl  0.5000  0.0000  0.5000  6 Se 3.19-3.53
Cu  0.5000  0.5000  0.0000  4 Se 2.59
Se  0.2204  0.5000  0.2285  2 Th 2.86, 2 Tl 3.19
Se  0.3062  0.0000  0.8311  2 Cu 2.59
Se  0.6938  0.0000  0.1689  2 Cu 2.59
Se  0.7796  0.5000  0.7715  2 Th 2.86, 2 Tl 3.19

- Formation energy from raw total energies: -72.4 kJ/mol of atoms
- Calculated total energy: -36.192 eV for the cell shown

***

(10)
VASP calculation (PBE-GGA) on a relaxed structure of Th3Tl3CuSe8.

Cell lengths 8.4580, 8.4580, 9.2383 Å; angles 117.25, 117.25, 60.01 degrees
With the nearest neighbours (Å) after each atom.
Atoms (fractional coordinates):
Th  0.0000  0.0000  0.0000  6 Se 2.90-2.97
Th  0.0000  0.5000  0.0000  6 Se 2.90-2.97
Th  0.5000  0.0000  0.0000  6 Se 2.90-2.97
Tl  0.0000  0.5000  0.5000  6 Se 3.31-3.40
Tl  0.5000  0.0000  0.5000  6 Se 3.31-3.40
Tl  0.5000  0.5000  0.5000  6 Se 3.31-3.40
Cu  0.5000  0.5000  0.0000  6 Se 2.85-2.87
Se  0.2360  0.7307  0.1974  1 Cu 2.87, 2 Th 2.90
Se  0.2384  0.2384  0.2149  3 Th 2.97, 3 Tl 3.31
Se  0.2693  0.7640  0.8026  1 Cu 2.87, 2 Th 2.90
Se  0.2711  0.2711  0.8046  1 Cu 2.85, 2 Th 2.90
Se  0.7289  0.7289  0.1954  1 Cu 2.85, 2 Th 2.90
Se  0.7307  0.2360  0.1974  1 Cu 2.87, 2 Th 2.90
Se  0.7616  0.7616  0.7851  3 Th 2.97, 3 Tl 3.31
Se  0.7640  0.2693  0.8026  1 Cu 2.87, 2 Th 2.90

- Formation energy from raw total energies: -105.8 kJ/mol of atoms
- Calculated total energy: -77.776 eV for the cell shown

***

- What is the calculated total energy in the fifth record?
  -34.266 eV for the cell shown

***

- What is the formation energy from raw total energies in the third record?
  -63.5 kJ/mol of atoms

***

- Among the records above, which one has the highest formation energy from raw total energies?
  ThTlCu2Se4